Record 1
Computed, not measured: a relaxed Rb3Zn5Au3 crystal at the PBE level of DFT.

POSCAR file:
```
Rb3Zn5Au3
1.0
-0.819 -6.425 -0.921
-2.469 1.378 -7.414
7.709 -1.191 1.458
Au Zn Rb
3 5 3
direct
0.500 0.335 0.335
0.500 0.000 0.665
0.500 0.665 0.000
0.500 0.000 0.320
0.500 0.320 0.000
0.500 0.680 0.680
0.500 0.667 0.333
0.500 0.333 0.667
0.000 0.000 0.670
0.000 0.670 0.000
0.000 0.330 0.330
```

Energy relative to the elements: -133 meV per atom
Crystal system: hexagonal
D(E_F): 6.36 states/eV/f.u.
SG: No. 189
Volume: 32.4 Å³ per atom

Record 2
Computed, not measured: a relaxed Rb2ZnAu2 crystal at the PBE level of DFT.

POSCAR file:
```
Rb2ZnAu2
1.0
-0.637 2.949 -3.228
6.805 -1.025 -2.280
-4.747 -4.845 -0.466
Rb Au Zn
2 2 1
direct
0.815 0.315 0.631
0.185 0.685 0.369
0.500 0.799 0.000
0.500 0.201 0.000
0.000 0.000 0.000
```

Energy relative to the elements: -210 meV per atom
Crystal system: orthorhombic
Distance to the lowest polymorph of the same formula: 10 meV/atom
D(E_F): 1.61 states/eV/f.u.
SG: No. 71
Volume: 34.0 Å³ per atom

Record 3
Computed, not measured: a relaxed Rb3ZnAu crystal at the PBE level of DFT.

POSCAR file:
```
Rb3ZnAu
1.0
-3.768 3.295 -4.415
-4.625 -4.798 0.367
-2.992 3.266 4.992
Rb Zn Au
3 1 1
direct
0.500 0.000 0.000
0.000 0.500 0.000
0.000 0.000 0.500
0.500 0.500 0.500
0.000 0.000 0.000
```

Energy relative to the elements: 75 meV per atom
Crystal system: cubic
Distance to the lowest polymorph of the same formula: 194 meV/atom
D(E_F): 6.28 states/eV/f.u.
SG: No. 221
Volume: 59.5 Å³ per atom